No. 1
The following is a PBE calculation of NiBiOsN2 after structural relaxation, from Alexandria.

Space-group type = P4/mmm (123)
Formation energy without anion corrections = 2716 meV per atom
Magnetization = 3.3 μB per formula unit

Cell: 4.2187 4.2187 4.8936 Å, 90.00 90.00 90.00°
Fractional coordinates of all 5 atoms:
Ni 0.0000 0.0000 0.0000
Bi 0.0000 0.0000 0.5000
Os 0.5000 0.5000 0.0000
N 0.0000 0.5000 0.5000
N 0.5000 0.0000 0.5000

No. 2
The following is a PBE calculation of PaNiBi2N after structural relaxation, from Alexandria.

Space-group type = P4/nmm (129)
Formation energy without anion corrections = -634 meV per atom
Magnetization = 0.0 μB per formula unit

Cell: 3.8804 3.8804 14.7503 Å, 90.00 90.00 90.00°
Fractional coordinates of all 10 atoms:
Pa 0.2500 0.2500 0.0805
Pa 0.7500 0.7500 0.9195
Ni 0.2500 0.2500 0.6041
Ni 0.7500 0.7500 0.3959
Bi 0.2500 0.2500 0.4213
Bi 0.2500 0.2500 0.7816
Bi 0.7500 0.7500 0.2184
Bi 0.7500 0.7500 0.5787
N 0.2500 0.7500 0.0000
N 0.7500 0.2500 0.0000

No. 3
The following is a PBE calculation of NiBiPd2N after structural relaxation, from Alexandria.

Space-group type = P4/mmm (123)
Formation energy without anion corrections = 122 meV per atom
Magnetization = 0.0 μB per formula unit

Cell: 4.5762 4.5762 3.6464 Å, 90.00 90.00 90.00°
Fractional coordinates of all 5 atoms:
Ni 0.0000 0.0000 0.0000
Bi 0.5000 0.5000 0.0000
Pd 0.0000 0.5000 0.5000
Pd 0.5000 0.0000 0.5000
N 0.0000 0.0000 0.5000

No. 4
The following is a PBE calculation of PuNiBi2N after structural relaxation, from Alexandria.

Space-group type = P4/nmm (129)
Formation energy without anion corrections = -448 meV per atom
Magnetization = 4.2 μB per formula unit

Cell: 3.8118 3.8118 15.1136 Å, 90.00 90.00 90.00°
Fractional coordinates of all 10 atoms:
Pu 0.2500 0.2500 0.0742
Pu 0.7500 0.7500 0.9258
Ni 0.2500 0.2500 0.6048
Ni 0.7500 0.7500 0.3952
Bi 0.2500 0.2500 0.4223
Bi 0.2500 0.2500 0.7770
Bi 0.7500 0.7500 0.2230
Bi 0.7500 0.7500 0.5777
N 0.2500 0.7500 0.0000
N 0.7500 0.2500 0.0000